DFT (PBE) results for a geometry-optimized LiGaGeMo2 structure.

Computed properties:
**E_form**: 1045 meV/atom
**V**: 89 Å³/cell

Unit cell a=4.6876 b=4.6876 c=4.0650 alpha=90.00 beta=90.00 gamma=90.00
Space group P4/mmm (No. 123)
One atom of each set of equivalent atoms:
1 Li 0.0000 0.0000 0.0000
2 Ga 0.0000 0.0000 0.5000
3 Ge 0.5000 0.5000 0.0000
4 Mo 0.0000 0.5000 0.5000